[1]
# UAl5Ga

A geometry-optimized UAl5Ga structure (PBE, the Alexandria database).

a b c (Å): 4.461 4.461 6.746
angles (deg): 90.00 90.00 90.00
Element x y z (fractional)
U 0.000 0.000 0.000
Al 0.000 0.500 0.289
Al 0.000 0.500 0.711
Al 0.500 0.000 0.289
Al 0.500 0.000 0.711
Al 0.500 0.500 0.000
Ga 0.000 0.000 0.500

Properties
Symmetry = P4/mmm
Crystal system = tetragonal
Electronic total energy = -4.706 eV per atom
Energy relative to the elements = 0.0121 eV per atom



[2]
# LaFeCl2

A geometry-optimized LaFeCl2 structure (PBE, the Alexandria database).

a b c (Å): 8.971 8.971 8.971
angles (deg): 22.95 22.95 22.95
Element x y z (fractional)
La 0.000 0.000 0.000
Fe 0.500 0.500 0.500
Cl 0.414 0.414 0.414
Cl 0.586 0.586 0.586

Properties
Symmetry = R-3m
Crystal system = trigonal
Formation energy without anion corrections = -689 meV per atom
Electronic total energy = -4.960 eV per atom
Energy above the lowest structure with this stoichiometry = 235.8 meV/atom



[3]
# La8Si3Cl4F

A geometry-optimized La8Si3Cl4F structure (PBE, the Alexandria database).

a b c (Å): 8.475 8.475 8.475
angles (deg): 60.23 60.23 60.23
Element x y z (fractional)
La 0.243 0.744 0.744
La 0.246 0.246 0.246
La 0.256 0.256 0.757
La 0.256 0.757 0.256
La 0.744 0.243 0.744
La 0.744 0.744 0.243
La 0.754 0.754 0.754
La 0.757 0.256 0.256
Si 0.000 0.000 0.500
Si 0.000 0.500 0.000
Si 0.500 0.000 0.000
Cl 0.000 0.000 0.000
Cl 0.000 0.500 0.500
Cl 0.500 0.000 0.500
Cl 0.500 0.500 0.000
F 0.500 0.500 0.500

Properties
Symmetry = R-3m
Crystal system = trigonal
Formation energy without anion corrections = -1426 meV per atom
Electronic total energy = -5.486 eV per atom



[4]
# AcPrTlNi

A geometry-optimized AcPrTlNi structure (PBE, the Alexandria database).

a b c (Å): 5.465 5.465 5.465
angles (deg): 60.00 60.00 60.00
Element x y z (fractional)
Ac 0.000 0.000 0.000
Pr 0.500 0.500 0.500
Tl 0.250 0.250 0.250
Ni 0.750 0.750 0.750

Properties
Symmetry = F-43m
Crystal system = cubic
Electronic total energy = -4.379 eV per atom
Energy relative to the elements = -0.1206 eV per atom



[5]
# TbCd4Rh

A geometry-optimized TbCd4Rh structure (PBE, the Alexandria database).

a b c (Å): 7.368 7.368 7.186
angles (deg): 108.05 108.05 46.32
Element x y z (fractional)
Tb 0.190 0.190 0.363
Tb 0.810 0.810 0.637
Cd 0.160 0.659 0.317
Cd 0.249 0.751 0.000
Cd 0.284 0.284 0.916
Cd 0.341 0.840 0.683
Cd 0.659 0.160 0.317
Cd 0.716 0.716 0.084
Cd 0.751 0.249 0.000
Cd 0.840 0.341 0.683
Rh 0.390 0.390 0.640
Rh 0.610 0.610 0.360

Properties
Symmetry = C2/m
Crystal system = monoclinic
Electronic total energy = -2.894 eV per atom
Energy relative to the elements = -0.2869 eV per atom
Energy above the lowest structure with this stoichiometry = 0.0 meV/atom



[6]
# As2WSe

A geometry-optimized As2WSe structure (PBE, the Alexandria database).

a b c (Å): 2.877 2.877 10.175
angles (deg): 90.00 90.00 112.28
Element x y z (fractional)
As 0.000 0.000 0.000
As 0.500 0.500 0.293
W 0.000 0.000 0.500
Se 0.500 0.500 0.704

Properties
Symmetry = Cmm2
Crystal system = orthorhombic
Formation energy without anion corrections = 482 meV per atom
Electronic total energy = -5.952 eV per atom



[7]
# NdSm5Ir4

A geometry-optimized NdSm5Ir4 structure (PBE, the Alexandria database).

a b c (Å): 9.476 9.476 7.577
angles (deg): 113.47 113.47 26.42
Element x y z (fractional)
Nd 0.000 0.000 0.000
Sm 0.000 0.000 0.500
Sm 0.334 0.334 0.076
Sm 0.334 0.334 0.592
Sm 0.666 0.666 0.408
Sm 0.666 0.666 0.924
Ir 0.199 0.199 0.199
Ir 0.500 0.500 0.261
Ir 0.500 0.500 0.739
Ir 0.801 0.801 0.801

Properties
Symmetry = C2/m
Crystal system = monoclinic
Electronic total energy = -6.948 eV per atom
Energy relative to the elements = -0.5670 eV per atom



[8]
# NaSm2Y3Se6

A geometry-optimized NaSm2Y3Se6 structure (PBE, the Alexandria database).

a b c (Å): 9.266 9.266 8.314
angles (deg): 103.21 103.21 25.64
Element x y z (fractional)
Na 0.000 0.000 0.000
Sm 0.330 0.330 0.657
Sm 0.670 0.670 0.343
Y 0.000 0.000 0.500
Y 0.334 0.334 0.173
Y 0.666 0.666 0.827
Se 0.163 0.163 0.588
Se 0.168 0.168 0.078
Se 0.500 0.500 0.254
Se 0.500 0.500 0.746
Se 0.832 0.832 0.922
Se 0.837 0.837 0.412

Properties
Symmetry = C2/m
Crystal system = monoclinic
Formation energy without anion corrections = -1775 meV per atom
Electronic total energy = -6.030 eV per atom